Entry 1:
This record from OQMD via LeMat-Bulk describes an optimized crystal structure of Hf2AgPd3. The functional is PBE-GGA.

- ρ (kg/m³) = 12405
- energy of formation from the pure elements (eV per atom) = -0.675

Geometry as CIF:
```
data_Hf2AgPd3
_chemical_formula_sum 'Hf2 Ag1 Pd3'
_cell_length_a 3.4654
_cell_length_b 3.4654
_cell_length_c 8.7403
_cell_angle_alpha 90.00
_cell_angle_beta 90.00
_cell_angle_gamma 90.00
_symmetry_space_group_name_H-M 'P 4 m m'
_symmetry_Int_Tables_number 99
_symmetry_space_group_name_Hall 'P 4 -2'
loop_
_atom_site_label
_atom_site_type_symbol
_atom_site_fract_x
_atom_site_fract_y
_atom_site_fract_z
_atom_site_occupancy
Hf1 Hf 0.0000 0.0000 0.0000 1
Hf2 Hf 0.5000 0.5000 0.4816 1
Ag1 Ag 0.0000 0.0000 0.6641 1
Pd1 Pd 0.0000 0.0000 0.3368 1
Pd2 Pd 0.5000 0.5000 0.1567 1
Pd3 Pd 0.5000 0.5000 0.8335 1
```

***

Entry 2:
This record from OQMD via LeMat-Bulk describes an optimized crystal structure of NaTbRe. The functional is PBE-GGA.

- ρ (kg/m³) = 8545
- E_tot (eV/atom) = -4.50

Geometry as CIF:
```
data_NaTbRe
_chemical_formula_sum 'Na4 Tb4 Re4'
_cell_length_a 6.5897
_cell_length_b 6.5897
_cell_length_c 6.5897
_cell_angle_alpha 90.00
_cell_angle_beta 90.00
_cell_angle_gamma 90.00
_symmetry_space_group_name_H-M 'F -4 3 m'
_symmetry_Int_Tables_number 216
_symmetry_space_group_name_Hall 'F -4 2 3'
loop_
_atom_site_label
_atom_site_type_symbol
_atom_site_fract_x
_atom_site_fract_y
_atom_site_fract_z
_atom_site_occupancy
Na1 Na 0.0000 0.0000 0.0000 1
Tb1 Tb 0.2500 0.2500 0.2500 1
Re1 Re 0.2500 0.2500 0.7500 1
```

***

Entry 3:
This record from OQMD via LeMat-Bulk describes an optimized crystal structure of La2CuP4. The functional is PBE-GGA.

- ρ (kg/m³) = 3891
- E_tot (eV/atom) = -5.50

Geometry as CIF:
```
data_La2CuP4
_chemical_formula_sum 'La4 Cu2 P8'
_cell_length_a 8.2978
_cell_length_b 11.1559
_cell_length_c 4.2893
_cell_angle_alpha 90.00
_cell_angle_beta 90.01
_cell_angle_gamma 90.00
_symmetry_space_group_name_H-M 'C 1 2/m 1'
_symmetry_Int_Tables_number 12
_symmetry_space_group_name_Hall '-C 2y'
loop_
_atom_site_label
_atom_site_type_symbol
_atom_site_fract_x
_atom_site_fract_y
_atom_site_fract_z
_atom_site_occupancy
La1 La 0.2500 0.2500 0.0000 1
Cu1 Cu 0.0000 0.0000 0.5000 1
P1 P 0.0000 0.2335 0.5000 1
P2 P 0.1304 0.0000 0.9803 1
```

***

Entry 4:
This record from OQMD via LeMat-Bulk describes an optimized crystal structure of HfZrInC. The functional is PBE-GGA.

- ρ (kg/m³) = 9041
- E_tot (eV/atom) = -8.32

Geometry as CIF:
```
data_HfZrInC
_chemical_formula_sum 'Hf2 Zr2 In2 C2'
_cell_length_a 3.3478
_cell_length_b 3.3478
_cell_length_c 15.0065
_cell_angle_alpha 90.00
_cell_angle_beta 90.00
_cell_angle_gamma 120.00
_symmetry_space_group_name_H-M 'P -6 m 2'
_symmetry_Int_Tables_number 187
_symmetry_space_group_name_Hall 'P -6 2'
loop_
_atom_site_label
_atom_site_type_symbol
_atom_site_fract_x
_atom_site_fract_y
_atom_site_fract_z
_atom_site_occupancy
Hf1 Hf 0.0000 0.0000 0.1669 1
Zr1 Zr 0.3333 0.6667 0.3308 1
In1 In 0.0000 0.0000 0.5000 1
In2 In 0.3333 0.6667 0.0000 1
C1 C 0.6667 0.3333 0.2458 1
```

***

Entry 5:
This record from OQMD via LeMat-Bulk describes an optimized crystal structure of TbSmPb4. The functional is PBE-GGA.

- ρ (kg/m³) = 9225
- E_tot (eV/atom) = -3.83

Geometry as CIF:
```
data_TbSmPb4
_chemical_formula_sum 'Tb2 Sm2 Pb8'
_cell_length_a 3.3323
_cell_length_b 6.3440
_cell_length_c 19.3817
_cell_angle_alpha 90.00
_cell_angle_beta 90.00
_cell_angle_gamma 90.00
_symmetry_space_group_name_H-M 'A m m 2'
_symmetry_Int_Tables_number 38
_symmetry_space_group_name_Hall 'A 2 -2'
loop_
_atom_site_label
_atom_site_type_symbol
_atom_site_fract_x
_atom_site_fract_y
_atom_site_fract_z
_atom_site_occupancy
Tb1 Tb 0.0000 0.0000 0.0000 1
Sm1 Sm 0.0000 0.0000 0.1852 1
Pb1 Pb 0.0000 0.0000 0.3507 1
Pb2 Pb 0.0000 0.0000 0.5099 1
Pb3 Pb 0.0000 0.0000 0.6736 1
Pb4 Pb 0.0000 0.0000 0.8344 1
```

***

Entry 6:
This record from OQMD via LeMat-Bulk describes an optimized crystal structure of NbCl3O. The functional is PBE-GGA.

- ρ (kg/m³) = 2664
- E_tot (eV/atom) = -5.71

Geometry as CIF:
```
data_NbCl3O
_chemical_formula_sum 'Nb4 Cl12 O4'
_cell_length_a 3.9826
_cell_length_b 10.3834
_cell_length_c 12.9805
_cell_angle_alpha 90.00
_cell_angle_beta 90.00
_cell_angle_gamma 90.00
_symmetry_space_group_name_H-M 'P n m a'
_symmetry_Int_Tables_number 62
_symmetry_space_group_name_Hall '-P 2ac 2n'
loop_
_atom_site_label
_atom_site_type_symbol
_atom_site_fract_x
_atom_site_fract_y
_atom_site_fract_z
_atom_site_occupancy
Nb1 Nb 0.2050 0.2500 0.0436 1
Cl1 Cl 0.2383 0.5583 0.6305 1
Cl2 Cl 0.2421 0.7500 0.3678 1
O1 O 0.2484 0.2500 0.4537 1
```

***

Entry 7:
This record from OQMD via LeMat-Bulk describes an optimized crystal structure of NaPm. The functional is PBE-GGA.

- excess energy over the best structure of this formula in the dataset (meV per atom) = 1218
- ρ (kg/m³) = 3225

Geometry as CIF:
```
data_NaPm
_chemical_formula_sum 'Na4 Pm4'
_cell_length_a 7.0206
_cell_length_b 7.0206
_cell_length_c 7.0206
_cell_angle_alpha 90.00
_cell_angle_beta 90.00
_cell_angle_gamma 90.00
_symmetry_space_group_name_H-M 'F -4 3 m'
_symmetry_Int_Tables_number 216
_symmetry_space_group_name_Hall 'F -4 2 3'
loop_
_atom_site_label
_atom_site_type_symbol
_atom_site_fract_x
_atom_site_fract_y
_atom_site_fract_z
_atom_site_occupancy
Na1 Na 0.0000 0.0000 0.0000 1
Pm1 Pm 0.2500 0.2500 0.7500 1
```

***

Entry 8:
This record from OQMD via LeMat-Bulk describes an optimized crystal structure of AcCoAs. The functional is PBE-GGA.

- excess energy over the best structure of this formula in the dataset (meV per atom) = 0
- ρ (kg/m³) = 8611

Geometry as CIF:
```
data_AcCoAs
_chemical_formula_sum 'Ac4 Co4 As4'
_cell_length_a 6.5292
_cell_length_b 6.5292
_cell_length_c 6.5292
_cell_angle_alpha 90.00
_cell_angle_beta 90.00
_cell_angle_gamma 90.00
_symmetry_space_group_name_H-M 'F -4 3 m'
_symmetry_Int_Tables_number 216
_symmetry_space_group_name_Hall 'F -4 2 3'
loop_
_atom_site_label
_atom_site_type_symbol
_atom_site_fract_x
_atom_site_fract_y
_atom_site_fract_z
_atom_site_occupancy
Ac1 Ac 0.0000 0.0000 0.0000 1
Co1 Co 0.2500 0.2500 0.2500 1
As1 As 0.0000 0.0000 0.5000 1
```

***

Entry 9:
This record from OQMD via LeMat-Bulk describes an optimized crystal structure of Be2Tc2Os. The functional is PBE-GGA.

- ρ (kg/m³) = 11602
- E_tot (eV/atom) = -8.06

Geometry as CIF:
```
data_Be2Tc2Os
_chemical_formula_sum 'Be4 Tc4 Os2'
_cell_length_a 6.2002
_cell_length_b 6.2002
_cell_length_c 3.0102
_cell_angle_alpha 90.00
_cell_angle_beta 90.00
_cell_angle_gamma 90.00
_symmetry_space_group_name_H-M 'P 4/m b m'
_symmetry_Int_Tables_number 127
_symmetry_space_group_name_Hall '-P 4 2ab'
loop_
_atom_site_label
_atom_site_type_symbol
_atom_site_fract_x
_atom_site_fract_y
_atom_site_fract_z
_atom_site_occupancy
Be1 Be 0.1231 0.3769 0.0000 1
Tc1 Tc 0.1699 0.6699 0.5000 1
Os1 Os 0.0000 0.0000 0.0000 1
```

***

Entry 10:
This record from OQMD via LeMat-Bulk describes an optimized crystal structure of TlCu5. The functional is PBE-GGA.

- ρ (kg/m³) = 10007
- E_tot (eV/atom) = -3.28

Geometry as CIF:
```
data_TlCu5
_chemical_formula_sum 'Tl4 Cu20'
_cell_length_a 5.1702
_cell_length_b 6.6098
_cell_length_c 10.1412
_cell_angle_alpha 90.00
_cell_angle_beta 90.00
_cell_angle_gamma 90.00
_symmetry_space_group_name_H-M 'P m c 21'
_symmetry_Int_Tables_number 26
_symmetry_space_group_name_Hall 'P 2c -2'
loop_
_atom_site_label
_atom_site_type_symbol
_atom_site_fract_x
_atom_site_fract_y
_atom_site_fract_z
_atom_site_occupancy
Tl1 Tl 0.0000 0.1264 0.0000 1
Tl2 Tl 0.5000 0.1278 0.7842 1
Cu1 Cu 0.0000 0.1450 0.7209 1
Cu2 Cu 0.0000 0.4868 0.8772 1
Cu3 Cu 0.0000 0.4932 0.1307 1
Cu4 Cu 0.2446 0.2332 0.2694 1
Cu5 Cu 0.2553 0.2343 0.5158 1
Cu6 Cu 0.5000 0.1437 0.0639 1
Cu7 Cu 0.5000 0.4875 0.9068 1
Cu8 Cu 0.5000 0.4954 0.6534 1
```

***

Entry 11:
This record from OQMD via LeMat-Bulk describes an optimized crystal structure of Li2Dy2O5. The functional is PBE-GGA.

- excess energy over the best structure of this formula in the dataset (meV per atom) = 164
- ρ (kg/m³) = 5199

Geometry as CIF:
```
data_Li2Dy2O5
_chemical_formula_sum 'Li2 Dy2 O5'
_cell_length_a 4.1205
_cell_length_b 4.1205
_cell_length_c 7.8800
_cell_angle_alpha 90.00
_cell_angle_beta 90.00
_cell_angle_gamma 90.00
_symmetry_space_group_name_H-M 'P 4/m m m'
_symmetry_Int_Tables_number 123
_symmetry_space_group_name_Hall '-P 4 2'
loop_
_atom_site_label
_atom_site_type_symbol
_atom_site_fract_x
_atom_site_fract_y
_atom_site_fract_z
_atom_site_occupancy
Li1 Li 0.0000 0.0000 0.0000 1
Li2 Li 0.0000 0.0000 0.5000 1
Dy1 Dy 0.5000 0.5000 0.2289 1
O1 O 0.0000 0.5000 0.1433 1
O2 O 0.5000 0.5000 0.5000 1
```

***

Entry 12:
This record from OQMD via LeMat-Bulk describes an optimized crystal structure of PrMgCu. The functional is PBE-GGA.

- ρ (kg/m³) = 5030
- E_tot (eV/atom) = -3.38

Geometry as CIF:
```
data_PrMgCu
_chemical_formula_sum 'Pr4 Mg4 Cu4'
_cell_length_a 6.7098
_cell_length_b 6.7098
_cell_length_c 6.7098
_cell_angle_alpha 90.00
_cell_angle_beta 90.00
_cell_angle_gamma 90.00
_symmetry_space_group_name_H-M 'F -4 3 m'
_symmetry_Int_Tables_number 216
_symmetry_space_group_name_Hall 'F -4 2 3'
loop_
_atom_site_label
_atom_site_type_symbol
_atom_site_fract_x
_atom_site_fract_y
_atom_site_fract_z
_atom_site_occupancy
Pr1 Pr 0.0000 0.0000 0.0000 1
Mg1 Mg 0.0000 0.0000 0.5000 1
Cu1 Cu 0.2500 0.2500 0.7500 1
```